# 1
Density functional theory data (PBE) for a relaxed Mg2Hg crystal.

a = 5.863 Å, b = 5.863 Å, c = 9.448 Å
α = 90.00°, β = 90.00°, γ = 120.00°
Sites, in units of the cell vectors:
Mg 0.000 0.000 0.000
Mg 0.000 0.000 0.500
Mg 0.171 0.341 0.250
Mg 0.171 0.829 0.250
Mg 0.341 0.171 0.750
Mg 0.659 0.829 0.250
Mg 0.829 0.171 0.750
Mg 0.829 0.659 0.750
Hg 0.333 0.667 0.561
Hg 0.333 0.667 0.939
Hg 0.667 0.333 0.061
Hg 0.667 0.333 0.439

Properties
DFT formation energy = 0.0552 eV per atom
Volume = 23.4 Å³ per atom
Symmetry = P6_3/mmc, No. 194

---

# 2
Density functional theory data (PBE) for a relaxed Mg2MnHg crystal.

a = 9.875 Å, b = 9.875 Å, c = 9.875 Å
α = 18.11°, β = 18.11°, γ = 18.11°
Sites, in units of the cell vectors:
Mg 0.244 0.244 0.244
Mg 0.756 0.756 0.756
Mn 0.500 0.500 0.500
Hg 0.000 0.000 0.000

Properties
DFT formation energy = 0.1794 eV per atom
Volume = 20.3 Å³ per atom
Symmetry = R-3m, No. 166
Excess energy over the best structure of this formula in the dataset = 0.1290 eV/atom

---

# 3
Density functional theory data (PBE) for a relaxed MgMn2Hg crystal.

a = 5.990 Å, b = 5.990 Å, c = 5.990 Å
α = 102.39°, β = 102.39°, γ = 124.81°
Sites, in units of the cell vectors:
Mg 0.000 0.000 0.000
Mg 0.750 0.250 0.500
Mn 0.138 0.625 0.013
Mn 0.375 0.388 0.513
Mn 0.612 0.125 0.987
Mn 0.875 0.862 0.487
Hg 0.250 0.750 0.500
Hg 0.500 0.500 0.000

Properties
DFT formation energy = 0.5863 eV per atom
Volume = 19.6 Å³ per atom
Symmetry = I-42d, No. 122
Excess energy over the best structure of this formula in the dataset = 0.4378 eV/atom

---

# 4
Density functional theory data (PBE) for a relaxed MgMnHg4 crystal.

a = 5.838 Å, b = 5.838 Å, c = 5.838 Å
α = 60.00°, β = 60.00°, γ = 60.00°
Sites, in units of the cell vectors:
Mg 0.000 0.000 0.000
Mn 0.750 0.750 0.750
Hg 0.375 0.375 0.375
Hg 0.375 0.375 0.874
Hg 0.375 0.874 0.375
Hg 0.874 0.375 0.375

Properties
DFT formation energy = 0.3767 eV per atom
Volume = 23.5 Å³ per atom
Symmetry = F-43m, No. 216

---

# 5
Density functional theory data (PBE) for a relaxed Mg2MnHg crystal.

a = 3.378 Å, b = 3.378 Å, c = 6.697 Å
α = 90.00°, β = 90.00°, γ = 90.00°
Sites, in units of the cell vectors:
Mg 0.000 0.000 0.231
Mg 0.000 0.000 0.769
Mn 0.500 0.500 0.000
Hg 0.500 0.500 0.500

Properties
DFT formation energy = 0.0579 eV per atom
Volume = 19.1 Å³ per atom
Symmetry = P4/mmm, No. 123
Excess energy over the best structure of this formula in the dataset = 0.0075 eV/atom

---

# 6
Density functional theory data (PBE) for a relaxed MgMn2Hg crystal.

a = 5.403 Å, b = 5.403 Å, c = 5.403 Å
α = 143.76°, β = 130.58°, γ = 62.81°
Sites, in units of the cell vectors:
Mg 0.000 0.000 0.000
Mn 0.505 0.505 0.000
Mn 0.743 0.243 0.500
Hg 0.255 0.755 0.500

Properties
DFT formation energy = 0.2986 eV per atom
Volume = 17.5 Å³ per atom
Symmetry = Imm2, No. 44
Excess energy over the best structure of this formula in the dataset = 0.1501 eV/atom

---

# 7
Density functional theory data (PBE) for a relaxed MgMn2Hg crystal.

a = 5.136 Å, b = 5.136 Å, c = 5.136 Å
α = 133.62°, β = 133.62°, γ = 67.68°
Sites, in units of the cell vectors:
Mg 0.000 0.000 0.000
Mn 0.250 0.750 0.500
Mn 0.500 0.500 0.000
Hg 0.750 0.250 0.500

Properties
DFT formation energy = 0.2900 eV per atom
Volume = 17.4 Å³ per atom
Symmetry = I-4m2, No. 119
Excess energy over the best structure of this formula in the dataset = 0.1415 eV/atom

---

# 8
Density functional theory data (PBE) for a relaxed MgMn2Hg crystal.

a = 9.434 Å, b = 9.434 Å, c = 9.434 Å
α = 18.33°, β = 18.33°, γ = 18.33°
Sites, in units of the cell vectors:
Mg 0.000 0.000 0.000
Mn 0.251 0.251 0.251
Mn 0.749 0.749 0.749
Hg 0.500 0.500 0.500

Properties
DFT formation energy = 0.3821 eV per atom
Volume = 18.1 Å³ per atom
Symmetry = R-3m, No. 166
Excess energy over the best structure of this formula in the dataset = 0.2336 eV/atom

---

# 9
Density functional theory data (PBE) for a relaxed Mg2MnHg crystal.

a = 6.157 Å, b = 6.157 Å, c = 6.157 Å
α = 102.43°, β = 102.43°, γ = 124.71°
Sites, in units of the cell vectors:
Mg 0.122 0.625 0.997
Mg 0.375 0.372 0.497
Mg 0.628 0.125 0.003
Mg 0.875 0.878 0.503
Mn 0.250 0.750 0.500
Mn 0.500 0.500 0.000
Hg 0.000 0.000 0.000
Hg 0.750 0.250 0.500

Properties
DFT formation energy = 0.3333 eV per atom
Volume = 21.2 Å³ per atom
Symmetry = I-42d, No. 122
Excess energy over the best structure of this formula in the dataset = 0.2829 eV/atom

---

# 10
Density functional theory data (PBE) for a relaxed MgMn2Hg crystal.

a = 5.029 Å, b = 5.029 Å, c = 4.941 Å
α = 102.42°, β = 102.42°, γ = 34.89°
Sites, in units of the cell vectors:
Mg 0.000 0.000 0.000
Mn 0.245 0.245 0.748
Mn 0.510 0.510 0.525
Hg 0.758 0.758 0.265

Properties
DFT formation energy = 0.2971 eV per atom
Volume = 17.4 Å³ per atom
Symmetry = Cm, No. 8
Excess energy over the best structure of this formula in the dataset = 0.1486 eV/atom

---

# 11
Density functional theory data (PBE) for a relaxed MgMn2Hg crystal.

a = 4.907 Å, b = 4.907 Å, c = 3.021 Å
α = 90.00°, β = 90.00°, γ = 107.94°
Sites, in units of the cell vectors:
Mg 0.000 0.000 0.000
Mn 0.000 0.500 0.500
Mn 0.500 0.000 0.500
Hg 0.500 0.500 0.000

Properties
DFT formation energy = 0.2987 eV per atom
Volume = 17.3 Å³ per atom
Symmetry = Cmmm, No. 65
Excess energy over the best structure of this formula in the dataset = 0.1503 eV/atom

---

# 12
Density functional theory data (PBE) for a relaxed Mg2MnHg crystal.

a = 4.525 Å, b = 4.525 Å, c = 3.725 Å
α = 90.00°, β = 90.00°, γ = 90.00°
Sites, in units of the cell vectors:
Mg 0.000 0.500 0.000
Mg 0.500 0.000 0.000
Mn 0.000 0.000 0.500
Hg 0.500 0.500 0.500

Properties
DFT formation energy = 0.0504 eV per atom
Volume = 19.1 Å³ per atom
Symmetry = P4/mmm, No. 123
Excess energy over the best structure of this formula in the dataset = 0.0000 eV/atom

---

# 13
Density functional theory data (PBE) for a relaxed Mg2MnHg crystal.

a = 4.606 Å, b = 4.606 Å, c = 4.606 Å
α = 60.00°, β = 60.00°, γ = 60.00°
Sites, in units of the cell vectors:
Mg 0.250 0.250 0.250
Mg 0.750 0.750 0.750
Mn 0.000 0.000 0.000
Hg 0.500 0.500 0.500

Properties
DFT formation energy = 0.4224 eV per atom
Volume = 17.3 Å³ per atom
Symmetry = Fm-3m, No. 225
Excess energy over the best structure of this formula in the dataset = 0.3719 eV/atom

---

# 14
Density functional theory data (PBE) for a relaxed MgMn2Hg crystal.

a = 4.057 Å, b = 4.057 Å, c = 4.104 Å
α = 90.00°, β = 90.00°, γ = 90.00°
Sites, in units of the cell vectors:
Mg 0.000 0.000 0.000
Mn 0.000 0.500 0.500
Mn 0.500 0.000 0.500
Hg 0.500 0.500 0.000

Properties
DFT formation energy = 0.2354 eV per atom
Volume = 16.9 Å³ per atom
Symmetry = P4/mmm, No. 123
Excess energy over the best structure of this formula in the dataset = 0.0869 eV/atom

---

| no. | M_tot (μB per cell) |
| --- | --- |
| 1 | 0.00 |
| 2 | 3.57 |
| 3 | 15.04 |
| 4 | 4.30 |
| 5 | 3.53 |
| 6 | 7.24 |
| 7 | 7.38 |
| 8 | 7.22 |
| 9 | 7.06 |
| 10 | 7.02 |
| 11 | 6.91 |
| 12 | 3.72 |
| 13 | 0.00 |
| 14 | 6.82 |